{"formula": "ZrRe4Se", "functional": "PBE", "state": "optimized geometry", "cell": [[0.0000, 3.7354, 3.7354], [3.7354, 0.0000, 3.7354], [3.7354, 3.7354, 0.0000]], "species": ["Zr", "Re", "Re", "Re", "Re", "Se"], "frac_coords": [[0.0000, 0.0000, 0.0000], [0.8739, 0.3754, 0.3754], [0.3754, 0.3754, 0.8739], [0.3754, 0.8739, 0.3754], [0.3754, 0.3754, 0.3754], [0.7500, 0.7500, 0.7500]], "sg": "No. 216", "formation_energy_uncorrected_mev_per_atom": 340.0}

***

{"formula": "Cs3NiRh", "functional": "PBE", "state": "optimized geometry", "cell": [[-1.8162, 5.6286, -1.3411], [0.7152, -1.1764, -5.9062], [-5.7418, -1.9269, -0.3114]], "species": ["Cs", "Cs", "Cs", "Ni", "Rh"], "frac_coords": [[0.0000, 0.5000, 0.0000], [0.0000, 0.0000, 0.5000], [0.5000, 0.0000, 0.0000], [0.5000, 0.5000, 0.5000], [0.0000, 0.0000, 0.0000]], "delta_e_f_ev_per_atom": 0.85, "sg": "No. 221", "de_polymorph_mev_per_atom": 0}

***

{"formula": "SmCdH", "functional": "PBE", "state": "optimized geometry", "cell": [[-0.5847, 2.7821, 2.5621], [-0.9031, -3.6173, 0.8636], [4.6403, -0.7192, 1.8399]], "species": ["H", "Sm", "Cd"], "frac_coords": [[0.3333, 0.6667, 0.5005], [0.6667, 0.3333, 0.4998], [0.0000, 0.0000, 0.9997]], "sg": "No. 187", "de_polymorph_mev_per_atom": 52}

***

{"formula": "NiIN", "functional": "PBE", "state": "optimized geometry", "cell": [[-2.2984, -3.1165, -1.3178], [4.0916, -2.1640, -2.0194], [2.0849, -6.0896, 4.4392]], "species": ["N", "N", "Ni", "Ni", "I", "I"], "frac_coords": [[0.1435, 0.0000, 0.5001], [0.8565, 0.0000, 0.4999], [0.5003, 0.2549, 0.4999], [0.4997, 0.7451, 0.5001], [0.6543, 0.6556, 0.1890], [0.3457, 0.3444, 0.8110]], "sg": "No. 12", "formation_energy_uncorrected_mev_per_atom": 59.5}

***

{"formula": "OsPdW", "functional": "PBE", "state": "optimized geometry", "cell": [[-0.9945, -0.8262, -2.4581], [9.0195, -9.7132, 1.1845], [3.9160, -8.1331, 1.1491]], "species": ["W", "W", "Pd", "Pd", "Os", "Os"], "frac_coords": [[0.9514, 0.9027, 0.2831], [0.0486, 0.0973, 0.7169], [0.2365, 0.4729, 0.6801], [0.7635, 0.5271, 0.3199], [0.6141, 0.2281, 0.2901], [0.3859, 0.7719, 0.7099]], "delta_e_f_ev_per_atom": 0.22, "sg": "No. 12", "de_polymorph_mev_per_atom": 79}

***

{"formula": "SrAg10Pd2", "functional": "PBE", "state": "optimized geometry", "cell": [[5.5347, 0.0000, 0.0000], [2.7673, 6.7273, 0.0000], [2.7673, 0.0000, 6.8116]], "species": ["Sr", "Ag", "Ag", "Ag", "Ag", "Ag", "Ag", "Ag", "Ag", "Ag", "Ag", "Pd", "Pd"], "frac_coords": [[0.0000, 0.0000, 0.0000], [0.3514, 0.6422, 0.6551], [0.6486, 0.3578, 0.3449], [0.9935, 0.3578, 0.6551], [0.0065, 0.6422, 0.3449], [0.0000, 0.0000, 0.5000], [0.5000, 0.0000, 0.5000], [0.2795, 0.2222, 0.2188], [0.7205, 0.7778, 0.7812], [0.5017, 0.7778, 0.2188], [0.4983, 0.2222, 0.7812], [0.0000, 0.5000, 0.0000], [0.5000, 0.5000, 0.0000]], "delta_e_f_ev_per_atom": -0.10, "sg": "No. 69"}